# 1
Compound: SrIn12Ni5
Source: the Alexandria database
Functional: GGA-PBE
Structure: optimized geometry

Cell: 7.974 7.974 7.974 Å, 98.08 113.39 117.54°
Fractional coordinates of all 18 atoms:
1 Sr 0.000 0.500 0.500
2 In 0.553 0.824 0.728
3 In 0.447 0.176 0.272
4 In 0.904 0.176 0.728
5 In 0.096 0.824 0.272
6 In 0.688 0.674 0.361
7 In 0.312 0.326 0.639
8 In 0.312 0.674 0.986
9 In 0.688 0.326 0.014
10 In 0.809 0.578 0.769
11 In 0.191 0.422 0.231
12 In 0.191 0.959 0.769
13 In 0.809 0.041 0.231
14 Ni 0.671 0.671 0.000
15 Ni 0.329 0.329 0.000
16 Ni 0.500 0.123 0.623
17 Ni 0.500 0.877 0.377
18 Ni 0.000 0.000 0.000

Volume, Å³ per cell: 379
D(E_F), states/eV/cell: 11.62
Energy, Ry per atom: -0.265
Calculated formation energy, eV/f.u.: -1.352
Symmetry: No. 71


# 2
Compound: Cs3Er2PuTe6
Source: the Alexandria database
Functional: GGA-PBE
Structure: optimized geometry

Cell: 7.925 7.925 9.274 Å, 98.19 98.19 120.01°
Last column: magnetic moment on the atom in μB.
Fractional coordinates of all 12 atoms:
1 Cs 0.166 0.834 0.500  0.00
2 Cs 0.834 0.166 0.500  0.00
3 Cs 0.500 0.500 0.500  0.00
4 Er 0.333 0.667 0.000  0.01
5 Er 0.667 0.333 0.000  0.01
6 Pu 0.000 0.000 0.000  5.20
7 Te 0.937 0.598 0.812  -0.04
8 Te 0.723 0.723 0.188  -0.04
9 Te 0.063 0.402 0.188  -0.04
10 Te 0.598 0.937 0.812  -0.04
11 Te 0.277 0.277 0.812  -0.04
12 Te 0.402 0.063 0.188  -0.04

Energy relative to the elements, uncorrected, kJ/mol of atoms: -122.5
Volume, Å³ per cell: 484
D(E_F), states/eV/cell: 14.05
Energy, Ry per atom: -0.368
Symmetry: No. 12


# 3
Compound: CeSmEr2
Source: the Alexandria database
Functional: GGA-PBE
Structure: optimized geometry

Cell: 4.947 5.022 5.022 Å, 90.00 90.00 90.00°
Last column: magnetic moment on the atom in μB.
Fractional coordinates of all 4 atoms:
1 Ce 0.500 0.000 0.000  0.50
2 Sm 0.500 0.500 0.500  -0.01
3 Er 0.000 0.000 0.500  0.01
4 Er 0.000 0.500 0.000  0.01

Volume, Å³ per cell: 125
D(E_F), states/eV/cell: 7.28
Energy, Ry per atom: -0.358
Calculated formation energy, eV/f.u.: 0.278
Symmetry: No. 123


# 4
Compound: TiNiHg
Source: the Alexandria database
Functional: GGA-PBE
Structure: optimized geometry

Cell: 3.272 3.272 5.017 Å, 109.03 109.03 90.00°
Last column: magnetic moment on the atom in μB.
Fractional coordinates of all 3 atoms:
1 Ni 0.962 0.962 0.924  0.05
2 Hg 0.288 0.288 0.576  0.00
3 Ti 0.600 0.600 0.200  0.23

Volume, Å³ per cell: 48
D(E_F), states/eV/cell: 2.37
Energy, Ry per atom: -0.351
Calculated formation energy, eV/f.u.: -0.333
Symmetry: No. 107